1.
# Pm8P3S4N PBE optimized geometry
# - Uncorrected formation energy: -1.80 eV/atom
# - Magnetic moment: 0.00 μB per atom
data_Pm8P3S4N
_cell_length_a 8.0298
_cell_length_b 8.0298
_cell_length_c 19.9130
_cell_angle_alpha 90.00
_cell_angle_beta 90.00
_cell_angle_gamma 120.00
_space_group_name_H-M_alt 'R -3 m'
_space_group_IT_number 166
_space_group_name_Hall '-R 3 2"'
loop_
_atom_site_label
_atom_site_type_symbol
_atom_site_fract_x
_atom_site_fract_y
_atom_site_fract_z
Pm1 Pm 0.0000 0.0000 0.2478
Pm2 Pm 0.0180 0.5090 0.2433
P1 P 0.0000 0.5000 0.5000
S1 S 0.0000 0.0000 0.0000
S2 S 0.0000 0.5000 0.0000
N1 N 0.0000 0.0000 0.5000


2.
# Pm6P3S2N PBE optimized geometry
# - Uncorrected formation energy: -1.68 eV/atom
# - Magnetic moment: 0.00 μB per atom
data_Pm6P3S2N
_cell_length_a 17.485
_cell_length_b 4.015
_cell_length_c 8.069
_cell_angle_alpha 90.00
_cell_angle_beta 102.91
_cell_angle_gamma 90.00
_space_group_name_H-M_alt 'C 1 2/m 1'
_space_group_IT_number 12
loop_
_space_group_symop_operation_xyz
'x,y,z'
'-x,-y,-z'
'-x,y,-z'
'x,-y,z'
'x+1/2,y+1/2,z'
'-x+1/2,-y+1/2,-z'
'-x+1/2,y+1/2,-z'
'x+1/2,-y+1/2,z'
loop_
_atom_site_label
_atom_site_type_symbol
_atom_site_fract_x
_atom_site_fract_y
_atom_site_fract_z
Pm1 Pm 0.002 0.000 0.273
Pm2 Pm 0.154 0.500 0.574
Pm3 Pm 0.164 0.500 0.089
P1 P 0.000 0.500 0.000
P2 P 0.170 0.000 0.337
S1 S 0.166 0.000 0.834
N1 N 0.000 0.500 0.500


3.
# Pm8P3S3N PBE optimized geometry
# - Uncorrected formation energy: -1.63 eV/atom
# - Magnetic moment: 0.06 μB per atom
data_Pm8P3S3N
_cell_length_a 8.0933
_cell_length_b 8.0933
_cell_length_c 19.6738
_cell_angle_alpha 90.00
_cell_angle_beta 90.00
_cell_angle_gamma 120.00
_space_group_name_H-M_alt 'R -3 m'
_space_group_IT_number 166
_space_group_name_Hall '-R 3 2"'
loop_
_atom_site_label
_atom_site_type_symbol
_atom_site_fract_x
_atom_site_fract_y
_atom_site_fract_z
Pm1 Pm 0.0000 0.0000 0.2478
Pm2 Pm 0.0327 0.5163 0.7432
P1 P 0.0000 0.5000 0.5000
S1 S 0.0000 0.5000 0.0000
N1 N 0.0000 0.0000 0.0000